VASP calculation (GGA-PBE) on a geometry-optimized ThPaInRe structure.

a = 3.3290 Å, b = 3.3290 Å, c = 8.8941 Å
α = 90.00°, β = 90.00°, γ = 90.00°
Fractional positions:
1 Th 0.0000 0.0000 0.0000
2 Pa 0.0000 0.0000 0.5842
3 In 0.5000 0.5000 0.2976
4 Re 0.5000 0.5000 0.7758

As for the total magnetic moment: 0.00 μB/cell. For the formation energy, the calculation gives -118 meV per atom. As for the crystal system: tetragonal. For the uncorrected energy, the calculation gives -32.57 eV/cell.

***

VASP calculation (GGA-PBE) on a geometry-optimized Pr6InGa2 structure.

a = 6.6340 Å, b = 8.6914 Å, c = 11.1522 Å
α = 90.00°, β = 118.84°, γ = 90.00°
Fractional positions:
1 Pr 0.0608 0.0540 0.2150
2 Pr 0.0608 0.4460 0.7150
3 Pr 0.1664 0.6979 0.0688
4 Pr 0.1664 0.8021 0.5688
5 Pr 0.4178 0.1501 0.0602
6 Pr 0.4178 0.3499 0.5602
7 Pr 0.5822 0.6501 0.4398
8 Pr 0.5822 0.8499 0.9398
9 Pr 0.8336 0.1979 0.4312
10 Pr 0.8336 0.3021 0.9312
11 Pr 0.9392 0.5540 0.2850
12 Pr 0.9392 0.9460 0.7850
13 In 0.5000 0.0000 0.5000
14 In 0.5000 0.5000 0.0000
15 Ga 0.3127 0.1227 0.7391
16 Ga 0.3127 0.3773 0.2391
17 Ga 0.6873 0.6227 0.7609
18 Ga 0.6873 0.8773 0.2609

As for the total magnetic moment: 0.00 μB/cell. For the formation energy, the calculation gives -247 meV per atom. As for the crystal system: monoclinic. For the uncorrected energy, the calculation gives -79.39 eV/cell. The value obtained for the offset from the most stable computed form is 0.123 eV/atom.

***

- Look up the total magnetic moment of the first one.
  0.00 μB/cell

***

Repeat the first record exactly.
VASP calculation (GGA-PBE) on a geometry-optimized ThPaInRe structure.

a = 3.3290 Å, b = 3.3290 Å, c = 8.8941 Å
α = 90.00°, β = 90.00°, γ = 90.00°
Fractional positions:
1 Th 0.0000 0.0000 0.0000
2 Pa 0.0000 0.0000 0.5842
3 In 0.5000 0.5000 0.2976
4 Re 0.5000 0.5000 0.7758

As for the total magnetic moment: 0.00 μB/cell. For the formation energy, the calculation gives -118 meV per atom. As for the crystal system: tetragonal. For the uncorrected energy, the calculation gives -32.57 eV/cell.

***

- Which value of total magnetic moment does entry 2 give?
  0.00 μB/cell